Density functional theory data (meta-GGA SCAN) for a PBEsol-optimized structure of K2NaAuF6.

Lattice parameters (Å, degrees): 6.0736 6.0736 6.0736 60.00 60.00 60.00
Positions (direct):
F (0.7553, 0.2447, 0.7553)
F (0.2447, 0.2447, 0.7553)
F (0.7553, 0.7553, 0.2447)
F (0.7553, 0.2447, 0.2447)
F (0.2447, 0.7553, 0.2447)
F (0.2447, 0.7553, 0.7553)
K (0.7500, 0.7500, 0.7500)
K (0.2500, 0.2500, 0.2500)
Na (0.5000, 0.5000, 0.5000)
Au (0.0000, 0.0000, 0.0000)

Computed properties:
ΔE_f (raw), eV/atom: -2.250
ρ, Mg/m³: 4.32
VASP energy, eV/atom: -13.377
Total magnetic moment, μB per cell: 2.00